No. 1
Entry from Alexandria: an optimized crystal structure of YPa2Sn (PBE).

DFT formation energy = -193.3 meV per atom

Unit cell a=4.449 b=4.449 c=5.182 alpha=90.00 beta=90.00 gamma=90.00
Positions (direct):
1 Y 0.000 0.000 0.000
2 Pa 0.000 0.500 0.500
3 Pa 0.500 0.000 0.500
4 Sn 0.500 0.500 0.000

No. 2
Entry from Alexandria: an optimized crystal structure of TbNpH2O6 (PBE).

electronic total energy = -7.7318 eV/atom

Unit cell a=5.225 b=5.439 c=5.952 alpha=63.03 beta=66.87 gamma=63.78
Positions (direct):
1 Tb 0.000 0.000 0.000
2 Np 0.500 0.500 0.500
3 H 0.088 0.269 0.267
4 H 0.912 0.731 0.733
5 O 0.086 0.747 0.746
6 O 0.275 0.587 0.268
7 O 0.394 0.152 0.720
8 O 0.606 0.848 0.280
9 O 0.725 0.413 0.732
10 O 0.914 0.253 0.254

No. 3
Entry from Alexandria: an optimized crystal structure of Rb3Pr2NdSe6 (PBE).

formation energy from raw total energies = -20.80 eV per formula unit

Unit cell a=7.620 b=7.620 c=8.426 alpha=98.67 beta=98.67 gamma=120.00
Positions (direct):
1 Rb 0.000 0.000 0.000
2 Rb 0.333 0.667 0.000
3 Rb 0.667 0.333 0.000
4 Pr 0.167 0.833 0.500
5 Pr 0.833 0.167 0.500
6 Nd 0.500 0.500 0.500
7 Se 0.101 0.433 0.298
8 Se 0.236 0.236 0.702
9 Se 0.433 0.101 0.298
10 Se 0.567 0.899 0.702
11 Se 0.764 0.764 0.298
12 Se 0.899 0.567 0.702

No. 4
Entry from Alexandria: an optimized crystal structure of Ag2PdI4 (PBE).

formation energy from raw total energies = -0.96 eV per formula unit

Unit cell a=14.899 b=14.899 c=14.899 alpha=16.82 beta=16.82 gamma=16.82
Positions (direct):
1 Ag 0.184 0.184 0.184
2 Ag 0.816 0.816 0.816
3 Pd 0.000 0.000 0.000
4 I 0.117 0.117 0.117
5 I 0.366 0.366 0.366
6 I 0.634 0.634 0.634
7 I 0.883 0.883 0.883

No. 5
Entry from Alexandria: an optimized crystal structure of Er4FeAu (PBE).

DFT formation energy = -318.5 meV per atom

Unit cell a=7.759 b=7.759 c=6.063 alpha=105.99 beta=105.99 gamma=110.98
Positions (direct):
1 Er 0.057 0.714 0.918
2 Er 0.216 0.351 0.690
3 Er 0.286 0.943 0.582
4 Er 0.351 0.216 0.190
5 Er 0.649 0.784 0.810
6 Er 0.714 0.057 0.418
7 Er 0.784 0.649 0.310
8 Er 0.943 0.286 0.082
9 Fe 0.001 0.999 0.250
10 Fe 0.999 0.001 0.750
11 Au 0.369 0.631 0.250
12 Au 0.631 0.369 0.750

No. 6
Entry from Alexandria: an optimized crystal structure of NaCa2As2 (PBE).

DFT formation energy = -860.4 meV per atom

Unit cell a=8.516 b=8.516 c=3.538 alpha=90.00 beta=90.00 gamma=90.00
Positions (direct):
1 Na 0.000 0.000 0.000
2 Na 0.500 0.500 0.000
3 Ca 0.137 0.363 0.500
4 Ca 0.363 0.863 0.500
5 Ca 0.637 0.137 0.500
6 Ca 0.863 0.637 0.500
7 As 0.164 0.664 0.000
8 As 0.336 0.164 0.000
9 As 0.664 0.836 0.000
10 As 0.836 0.336 0.000

No. 7
Entry from Alexandria: an optimized crystal structure of LaPrIr (PBE).

DFT formation energy = -532.7 meV per atom

Unit cell a=7.290 b=7.290 c=7.290 alpha=133.59 beta=132.90 gamma=68.27
Positions (direct):
1 La 0.388 0.138 0.250
2 La 0.612 0.862 0.750
3 Pr 0.138 0.388 0.750
4 Pr 0.862 0.612 0.250
5 Ir 0.375 0.625 0.750
6 Ir 0.625 0.375 0.250

No. 8
Entry from Alexandria: an optimized crystal structure of BeW (PBE).

DFT formation energy = 464.0 meV per atom

Unit cell a=8.542 b=8.542 c=8.542 alpha=18.36 beta=18.36 gamma=18.36
Positions (direct):
1 Be 0.131 0.131 0.131
2 Be 0.869 0.869 0.869
3 W 0.382 0.382 0.382
4 W 0.618 0.618 0.618

No. 9
Entry from Alexandria: an optimized crystal structure of TlCo2Au (PBE).

DFT formation energy = 416.2 meV per atom

Unit cell a=5.198 b=5.198 c=5.198 alpha=143.03 beta=129.52 gamma=64.20
Positions (direct):
1 Tl 0.000 0.000 0.000
2 Co 0.541 0.541 0.000
3 Co 0.729 0.229 0.500
4 Au 0.280 0.780 0.500

No. 10
Entry from Alexandria: an optimized crystal structure of Al2InSb (PBE).

formation energy from raw total energies = 0.62 eV per formula unit

Unit cell a=3.060 b=3.973 c=7.629 alpha=90.00 beta=90.00 gamma=90.00
Positions (direct):
1 Al 0.000 0.000 0.229
2 Al 0.000 0.000 0.771
3 In 0.500 0.500 0.000
4 Sb 0.000 0.500 0.500

No. 11
Entry from Alexandria: an optimized crystal structure of Mg12H5Ir3 (PBE).

electronic total energy = -3.2359 eV/atom

Unit cell a=11.880 b=11.880 c=11.880 alpha=109.47 beta=109.47 gamma=109.47
Positions (direct):
1 Mg 0.029 0.213 0.122
2 Mg 0.029 0.315 0.906
3 Mg 0.091 0.713 0.685
4 Mg 0.091 0.878 0.406
5 Mg 0.094 0.622 0.409
6 Mg 0.094 0.971 0.685
7 Mg 0.122 0.029 0.213
8 Mg 0.122 0.594 0.909
9 Mg 0.185 0.213 0.591
10 Mg 0.185 0.471 0.594
11 Mg 0.213 0.122 0.029
12 Mg 0.213 0.591 0.185
13 Mg 0.287 0.315 0.909
14 Mg 0.287 0.471 0.378
15 Mg 0.315 0.906 0.029
16 Mg 0.315 0.909 0.287
17 Mg 0.378 0.287 0.471
18 Mg 0.378 0.591 0.906
19 Mg 0.406 0.091 0.878
20 Mg 0.406 0.815 0.529
21 Mg 0.409 0.094 0.622
22 Mg 0.409 0.815 0.787
23 Mg 0.471 0.378 0.287
24 Mg 0.471 0.594 0.185
25 Mg 0.529 0.406 0.815
26 Mg 0.529 0.622 0.713
27 Mg 0.591 0.185 0.213
28 Mg 0.591 0.906 0.378
29 Mg 0.594 0.185 0.471
30 Mg 0.594 0.909 0.122
31 Mg 0.622 0.409 0.094
32 Mg 0.622 0.713 0.529
33 Mg 0.685 0.091 0.713
34 Mg 0.685 0.094 0.971
35 Mg 0.713 0.529 0.622
36 Mg 0.713 0.685 0.091
37 Mg 0.787 0.409 0.815
38 Mg 0.787 0.878 0.971
39 Mg 0.815 0.529 0.406
40 Mg 0.815 0.787 0.409
41 Mg 0.878 0.406 0.091
42 Mg 0.878 0.971 0.787
43 Mg 0.906 0.029 0.315
44 Mg 0.906 0.378 0.591
45 Mg 0.909 0.122 0.594
46 Mg 0.909 0.287 0.315
47 Mg 0.971 0.685 0.094
48 Mg 0.971 0.787 0.878
49 H 0.000 0.000 0.000
50 H 0.000 0.000 0.500
51 H 0.000 0.500 0.000
52 H 0.000 0.500 0.500
53 H 0.125 0.750 0.875
54 H 0.125 0.875 0.250
55 H 0.250 0.125 0.875
56 H 0.250 0.625 0.375
57 H 0.375 0.250 0.625
58 H 0.375 0.625 0.750
59 H 0.500 0.000 0.000
60 H 0.500 0.000 0.500
61 H 0.500 0.500 0.000
62 H 0.500 0.500 0.500
63 H 0.625 0.375 0.250
64 H 0.625 0.750 0.375
65 H 0.750 0.375 0.625
66 H 0.750 0.875 0.125
67 H 0.875 0.125 0.750
68 H 0.875 0.250 0.125
69 Ir 0.125 0.250 0.375
70 Ir 0.125 0.375 0.750
71 Ir 0.250 0.375 0.125
72 Ir 0.250 0.875 0.625
73 Ir 0.375 0.125 0.250
74 Ir 0.375 0.750 0.125
75 Ir 0.625 0.250 0.875
76 Ir 0.625 0.875 0.750
77 Ir 0.750 0.125 0.375
78 Ir 0.750 0.625 0.875
79 Ir 0.875 0.625 0.250
80 Ir 0.875 0.750 0.625

No. 12
Entry from Alexandria: an optimized crystal structure of VBiPd6 (PBE).

DFT formation energy = -226.2 meV per atom

Unit cell a=4.013 b=4.013 c=8.080 alpha=90.00 beta=90.00 gamma=90.00
Positions (direct):
1 V 0.000 0.000 0.000
2 Bi 0.000 0.000 0.500
3 Pd 0.000 0.500 0.230
4 Pd 0.000 0.500 0.770
5 Pd 0.500 0.000 0.230
6 Pd 0.500 0.000 0.770
7 Pd 0.500 0.500 0.000
8 Pd 0.500 0.500 0.500

No. 13
Entry from Alexandria: an optimized crystal structure of SbPdPb2 (PBE).

formation energy from raw total energies = -0.43 eV per formula unit

Unit cell a=4.597 b=4.597 c=6.836 alpha=110.74 beta=110.74 gamma=56.98
Positions (direct):
1 Sb 0.000 0.000 0.000
2 Pd 0.632 0.632 0.868
3 Pb 0.227 0.227 0.649
4 Pb 0.426 0.426 0.305

No. 14
Entry from Alexandria: an optimized crystal structure of TaTe2As (PBE).

formation energy from raw total energies = 0.07 eV per formula unit

Unit cell a=7.606 b=7.606 c=4.406 alpha=99.08 beta=99.08 gamma=25.84
Positions (direct):
1 Ta 0.000 0.000 0.000
2 Te 0.346 0.346 0.815
3 Te 0.654 0.654 0.185
4 As 0.500 0.500 0.500

No. 15
Entry from Alexandria: an optimized crystal structure of LiAc2Hg (PBE).

DFT formation energy = -202.6 meV per atom

Unit cell a=5.711 b=5.711 c=5.711 alpha=60.00 beta=60.00 gamma=60.00
Positions (direct):
1 Li 0.000 0.000 0.000
2 Ac 0.250 0.250 0.250
3 Ac 0.750 0.750 0.750
4 Hg 0.500 0.500 0.500

No. 16
Entry from Alexandria: an optimized crystal structure of SiC2Cl (PBE).

formation energy from raw total energies = 6.13 eV per formula unit

Unit cell a=5.701 b=5.701 c=5.701 alpha=127.74 beta=127.74 gamma=77.04
Positions (direct):
1 Si 0.000 0.000 0.000
2 Si 0.750 0.250 0.500
3 C 0.025 0.625 0.900
4 C 0.375 0.275 0.400
5 C 0.725 0.125 0.100
6 C 0.875 0.975 0.600
7 Cl 0.250 0.750 0.500
8 Cl 0.500 0.500 0.000

No. 17
Entry from Alexandria: an optimized crystal structure of NaCuHgP2 (PBE).

DFT formation energy = 1337.1 meV per atom

Unit cell a=4.861 b=4.861 c=5.237 alpha=90.00 beta=90.00 gamma=90.00
Positions (direct):
1 Na 0.000 0.000 0.000
2 Cu 0.500 0.500 0.500
3 Hg 0.000 0.000 0.500
4 P 0.000 0.500 0.000
5 P 0.500 0.000 0.000

No. 18
Entry from Alexandria: an optimized crystal structure of TcRu2Cl (PBE).

formation energy from raw total energies = 1.56 eV per formula unit

Unit cell a=2.844 b=2.844 c=7.283 alpha=90.00 beta=90.00 gamma=90.00
Positions (direct):
1 Tc 0.000 0.000 0.000
2 Ru 0.500 0.500 0.241
3 Ru 0.500 0.500 0.759
4 Cl 0.000 0.000 0.500

No. 19
Entry from Alexandria: an optimized crystal structure of Li7Zn2Pd2 (PBE).

DFT formation energy = -273.9 meV per atom

Unit cell a=5.200 b=5.200 c=6.768 alpha=99.51 beta=99.51 gamma=97.92
Positions (direct):
1 Li 0.000 0.000 0.000
2 Li 0.091 0.483 0.817
3 Li 0.162 0.162 0.426
4 Li 0.483 0.091 0.817
5 Li 0.517 0.909 0.183
6 Li 0.838 0.838 0.574
7 Li 0.909 0.517 0.183
8 Zn 0.316 0.684 0.500
9 Zn 0.684 0.316 0.500
10 Pd 0.402 0.402 0.164
11 Pd 0.598 0.598 0.836

No. 20
Entry from Alexandria: an optimized crystal structure of ZrScAgPd (PBE).

DFT formation energy = -402.1 meV per atom

Unit cell a=4.790 b=4.790 c=4.790 alpha=60.00 beta=60.00 gamma=60.00
Positions (direct):
1 Zr 0.000 0.000 0.000
2 Sc 0.500 0.500 0.500
3 Ag 0.750 0.750 0.750
4 Pd 0.250 0.250 0.250

Total magnetic moment in μB per formula unit, matching the order above: 0.0 0.0 0.0 1.9 0.0 0.0 0.0 0.0 3.4 0.0 0.0 1.4 0.0 0.0 0.0 0.0 0.0 0.0 0.0 0.0